[1]
The following is a PBE calculation of a relaxed CsRb2ReF6 crystal, from Alexandria.

```
CsRb2ReF6
1.0
6.8741 0.0000 0.0000
0.0000 6.8741 0.0000
3.4371 3.4371 4.7947
Re F Rb Cs
1 6 2 1
Cartesian
0.0000 0.0000 0.0000
1.4744 1.4744 0.0000
1.4744 5.3997 0.0000
6.8741 6.8741 2.0202
5.3997 1.4744 0.0000
5.3997 5.3997 0.0000
3.4371 3.4371 2.7745
3.4371 6.8741 2.3974
6.8741 3.4371 2.3974
3.4371 3.4371 0.0000
```

Output
E_tot, Ry per atom: -0.3596
Total magnetic moment, μB/f.u.: 2.024
E_form (uncorrected), kJ/mol of formula units: -2168

=====

[2]
The following is a PBE calculation of a relaxed Ac5HoMg6 crystal, from Alexandria.

```
Ac5HoMg6
1.0
5.5164 -0.0069 -1.5477
-4.1283 8.0353 -4.1412
-0.2087 -1.1416 9.8698
Mg Ac Ho
6 5 1
Cartesian
3.0284 1.5744 0.1840
0.9111 0.1761 3.2456
-1.8490 5.3125 3.9968
-0.3455 3.1181 -1.2461
0.2683 6.7107 0.9352
1.5248 3.7687 5.4270
-0.7055 6.4759 -2.5395
1.8849 0.4110 6.7203
2.6976 4.9624 -1.0078
0.5897 3.4434 2.0904
-1.5183 1.9245 5.1887
0.0000 0.0000 0.0000
```

Output
E_tot, Ry per atom: -0.2175
DFT formation energy, eV per atom: -0.068
Total magnetic moment, μB/f.u.: 0.000

=====

[3]
The following is a PBE calculation of a relaxed Dy3HoSb4 crystal, from Alexandria.

```
Dy3HoSb4
1.0
6.1883 0.0000 0.0000
0.0000 6.1883 0.0000
0.0000 0.0000 6.1883
Sb Ho Dy
4 1 3
Cartesian
0.0000 3.0942 0.0000
3.0942 3.0942 3.0942
3.0942 0.0000 0.0000
0.0000 0.0000 3.0942
0.0000 0.0000 0.0000
3.0942 0.0000 3.0942
3.0942 3.0942 0.0000
0.0000 3.0942 3.0942
```

Output
E_tot, Ry per atom: -0.4037
Total magnetic moment, μB/f.u.: 0.000
E_form (uncorrected), kJ/mol of formula units: -875

=====

total magnetic moment of number 2 (Ac5HoMg6)?
0.000 μB/f.u.

=====

Among the records above, which one has the lowest E_tot?
Dy3HoSb4

=====

Look up the E_tot of the second one.
-0.2175 Ry per atom

=====

Which of these has the highest E_tot?
Ac5HoMg6